Here is an optimized crystal structure of PrTm2Pt2 from Alexandria. Energies are from PBE-GGA.

Calculated values
Energy: -6.19 eV per atom
Density of states at the Fermi level: 4.02 states/eV/f.u.
Space group: No. 11
ΔH_f (0 K): -1.031 eV/atom

Cell lengths 4.6749, 5.3738, 10.3924 Å; angles 95.82, 90.00, 90.00 degrees
Last column: nearest neighbours and their distance in Å.
Fractional coordinates of all 10 atoms:
1 Pr 0.2500 0.4083 0.2219  5 Pt 3.03-3.14
2 Pr 0.7500 0.5917 0.7781  5 Pt 3.03-3.14
3 Tm 0.2500 0.1299 0.8876  5 Pt 2.76-2.91
4 Tm 0.7500 0.2283 0.4754  4 Pt 2.84-2.91
5 Tm 0.2500 0.7717 0.5246  4 Pt 2.84-2.91
6 Tm 0.7500 0.8701 0.1124  5 Pt 2.76-2.91
7 Pt 0.7500 0.7062 0.3688  5 Tm 2.84-2.91, 2 Pr 3.14
8 Pt 0.7500 0.3392 0.0254  4 Tm 2.76-2.91, 2 Pt 2.99, 1 Pr 3.03
9 Pt 0.2500 0.2938 0.6312  5 Tm 2.84-2.91, 2 Pr 3.14
10 Pt 0.2500 0.6608 0.9746  4 Tm 2.76-2.91, 2 Pt 2.99, 1 Pr 3.03